No. 1
This record from Alexandria describes an optimized crystal structure of NiOsN2. The functional is PBE.

The structure in POSCAR format:
```
NiOsN2
1.0
1.407 0.812 6.210
-1.407 0.812 6.210
0.000 -1.625 6.210
Ni Os N
1 1 2
Direct
0.000 0.000 0.000
0.500 0.500 0.500
0.097 0.097 0.097
0.903 0.903 0.903
```

ΔE_f (raw)   0.563 eV per atom
Magnetization   0.0 μB per cell
E_tot   -7.85 eV/atom
Excess energy over the best structure of this formula in the dataset   178.3 meV per atom

=====

No. 2
This record from Alexandria describes an optimized crystal structure of NiOs3N. The functional is PBE.

The structure in POSCAR format:
```
NiOs3N
1.0
3.999 0.000 0.000
0.000 3.999 0.000
0.000 0.000 3.999
Ni Os N
1 3 1
Direct
0.000 0.000 0.000
0.000 0.500 0.500
0.500 0.000 0.500
0.500 0.500 0.000
0.500 0.500 0.500
```

ΔE_f (raw)   0.731 eV per atom
Magnetization   1.0 μB per cell
E_tot   -8.83 eV/atom
Excess energy over the best structure of this formula in the dataset   0.0 meV per atom

=====

No. 3
This record from Alexandria describes an optimized crystal structure of NiOsN2. The functional is PBE.

The structure in POSCAR format:
```
NiOsN2
1.0
-2.244 2.244 4.473
2.244 -2.244 4.473
2.244 2.244 -4.473
Ni Os N
2 2 4
Direct
0.000 0.000 0.000
0.750 0.250 0.500
0.250 0.750 0.500
0.500 0.500 0.000
0.128 0.625 0.003
0.375 0.378 0.503
0.622 0.125 0.997
0.875 0.872 0.497
```

ΔE_f (raw)   0.385 eV per atom
Magnetization   0.0 μB per cell
E_tot   -8.03 eV/atom
Excess energy over the best structure of this formula in the dataset   0.0 meV per atom

=====

No. 4
This record from Alexandria describes an optimized crystal structure of NiOs2N. The functional is PBE.

The structure in POSCAR format:
```
NiOs2N
1.0
-2.583 2.583 4.361
2.583 -2.583 4.361
2.583 2.583 -4.361
Ni Os N
2 4 2
Direct
0.000 0.000 0.000
0.750 0.250 0.500
0.195 0.625 0.070
0.375 0.445 0.570
0.555 0.125 0.930
0.875 0.805 0.430
0.250 0.750 0.500
0.500 0.500 0.000
```

ΔE_f (raw)   0.987 eV per atom
Magnetization   0.0 μB per cell
E_tot   -8.15 eV/atom

=====

No. 5
This record from Alexandria describes an optimized crystal structure of NiOsN2. The functional is PBE.

The structure in POSCAR format:
```
NiOsN2
1.0
2.860 0.000 0.000
-1.430 2.477 0.000
0.000 0.000 12.264
Ni Os N
2 2 4
Direct
0.000 0.000 0.000
0.000 0.000 0.500
0.333 0.667 0.250
0.667 0.333 0.750
0.000 0.000 0.150
0.000 0.000 0.350
0.000 0.000 0.650
0.000 0.000 0.850
```

ΔE_f (raw)   0.468 eV per atom
Magnetization   0.7 μB per cell
E_tot   -7.95 eV/atom
Excess energy over the best structure of this formula in the dataset   82.7 meV per atom

=====

No. 6
This record from Alexandria describes an optimized crystal structure of NiOsN3. The functional is PBE.

The structure in POSCAR format:
```
NiOsN3
1.0
3.832 0.000 0.000
0.000 3.832 0.000
0.000 0.000 3.832
Ni Os N
1 1 3
Direct
0.000 0.000 0.000
0.500 0.500 0.500
0.000 0.500 0.500
0.500 0.000 0.500
0.500 0.500 0.000
```

ΔE_f (raw)   1.352 eV per atom
Magnetization   1.9 μB per cell
E_tot   -7.04 eV/atom

=====

No. 7
This record from Alexandria describes an optimized crystal structure of NiOsN. The functional is PBE.

The structure in POSCAR format:
```
NiOsN
1.0
2.744 0.000 0.000
0.000 3.971 0.000
0.000 0.000 5.968
Ni Os N
2 2 2
Direct
0.250 0.250 0.050
0.750 0.750 0.950
0.250 0.750 0.320
0.750 0.250 0.680
0.250 0.250 0.416
0.750 0.750 0.584
```

ΔE_f (raw)   0.483 eV per atom
Magnetization   0.0 μB per cell
E_tot   -7.96 eV/atom

=====

No. 8
This record from Alexandria describes an optimized crystal structure of NiOsN2. The functional is PBE.

The structure in POSCAR format:
```
NiOsN2
1.0
0.000 2.619 2.619
2.619 0.000 2.619
2.619 2.619 0.000
Ni Os N
1 1 2
Direct
0.000 0.000 0.000
0.500 0.500 0.500
0.250 0.250 0.250
0.750 0.750 0.750
```

ΔE_f (raw)   1.226 eV per atom
Magnetization   1.9 μB per cell
E_tot   -7.19 eV/atom
Excess energy over the best structure of this formula in the dataset   841.5 meV per atom

=====

No. 9
This record from Alexandria describes an optimized crystal structure of NiOs3N. The functional is PBE.

The structure in POSCAR format:
```
NiOs3N
1.0
4.410 0.000 0.000
0.000 4.410 0.000
0.000 0.000 4.410
Ni Os N
1 3 1
Direct
0.000 0.000 0.000
0.000 0.000 0.500
0.000 0.500 0.000
0.500 0.000 0.000
0.500 0.500 0.500
```

ΔE_f (raw)   3.245 eV per atom
Magnetization   2.9 μB per cell
E_tot   -6.31 eV/atom
Excess energy over the best structure of this formula in the dataset   2514.7 meV per atom

=====

No. 10
This record from Alexandria describes an optimized crystal structure of Ni2OsN. The functional is PBE.

The structure in POSCAR format:
```
Ni2OsN
1.0
-3.216 3.216 2.096
3.216 -3.216 2.096
3.216 3.216 -2.096
Ni Os N
4 2 2
Direct
0.041 0.625 0.916
0.375 0.291 0.416
0.709 0.125 0.084
0.875 0.959 0.584
0.250 0.750 0.500
0.500 0.500 0.000
0.000 0.000 0.000
0.750 0.250 0.500
```

ΔE_f (raw)   0.602 eV per atom
Magnetization   1.9 μB per cell
E_tot   -7.18 eV/atom

=====

No. 11
This record from Alexandria describes an optimized crystal structure of Ni2OsPtN. The functional is PBE.

The structure in POSCAR format:
```
Ni2OsPtN
1.0
3.920 0.000 0.000
0.000 3.920 0.000
0.000 0.000 3.891
Ni Os Pt N
2 1 1 1
Direct
0.000 0.500 0.000
0.500 0.000 0.000
0.000 0.000 0.500
0.500 0.500 0.500
0.000 0.000 0.000
```

ΔE_f (raw)   0.216 eV per atom
Magnetization   1.3 μB per cell
E_tot   -7.22 eV/atom

=====

No. 12
This record from Alexandria describes an optimized crystal structure of NiOsRuN2. The functional is PBE.

The structure in POSCAR format:
```
NiOsRuN2
1.0
3.710 0.000 0.000
0.000 3.710 0.000
0.000 0.000 5.415
Ni Os Ru N
1 1 1 2
Direct
0.000 0.000 0.000
0.500 0.500 0.500
0.500 0.500 0.000
0.000 0.500 0.500
0.500 0.000 0.500
```

ΔE_f (raw)   1.287 eV per atom
Magnetization   2.9 μB per cell
E_tot   -7.30 eV/atom

=====

No. 13
This record from Alexandria describes an optimized crystal structure of NiOsSN2. The functional is PBE.

The structure in POSCAR format:
```
NiOsSN2
1.0
3.721 0.000 0.000
0.000 3.721 0.000
0.000 0.000 5.253
Ni Os S N
1 1 1 2
Direct
0.000 0.000 0.000
0.500 0.500 0.500
0.500 0.500 0.000
0.000 0.500 0.500
0.500 0.000 0.500
```

ΔE_f (raw)   0.833 eV per atom
Magnetization   1.4 μB per cell
E_tot   -6.72 eV/atom
Excess energy over the best structure of this formula in the dataset   0.0 meV per atom

=====

No. 14
This record from Alexandria describes an optimized crystal structure of NiOsSN2. The functional is PBE.

The structure in POSCAR format:
```
NiOsSN2
1.0
3.607 0.000 0.000
0.000 3.607 0.000
0.000 0.000 4.585
Ni Os S N
1 1 1 2
Direct
0.000 0.000 0.000
0.500 0.500 0.500
0.000 0.000 0.500
0.000 0.500 0.000
0.500 0.000 0.000
```

ΔE_f (raw)   1.718 eV per atom
Magnetization   0.6 μB per cell
E_tot   -5.84 eV/atom
Excess energy over the best structure of this formula in the dataset   885.2 meV per atom

=====

No. 15
This record from Alexandria describes an optimized crystal structure of NiOsS2N. The functional is PBE.

The structure in POSCAR format:
```
NiOsS2N
1.0
4.593 0.000 0.000
0.000 4.593 0.000
0.000 0.000 3.288
Ni Os S N
1 1 2 1
Direct
0.000 0.000 0.000
0.500 0.500 0.500
0.000 0.500 0.000
0.500 0.000 0.000
0.000 0.000 0.500
```

ΔE_f (raw)   1.185 eV per atom
Magnetization   0.0 μB per cell
E_tot   -5.53 eV/atom
Excess energy over the best structure of this formula in the dataset   397.7 meV per atom

=====

No. 16
This record from Alexandria describes an optimized crystal structure of NiOsS2N. The functional is PBE.

The structure in POSCAR format:
```
NiOsS2N
1.0
4.771 0.000 0.000
0.000 4.771 0.000
0.000 0.000 3.647
Ni Os S N
1 1 2 1
Direct
0.000 0.000 0.000
0.500 0.500 0.500
0.000 0.500 0.500
0.500 0.000 0.500
0.500 0.500 0.000
```

ΔE_f (raw)   0.787 eV per atom
Magnetization   1.1 μB per cell
E_tot   -5.93 eV/atom
Excess energy over the best structure of this formula in the dataset   0.0 meV per atom

=====

No. 17
This record from Alexandria describes an optimized crystal structure of TcNiOsN2. The functional is PBE.

The structure in POSCAR format:
```
TcNiOsN2
1.0
3.743 0.000 0.000
0.000 3.743 0.000
0.000 0.000 5.284
Tc Ni Os N
1 1 1 2
Direct
0.000 0.000 0.000
0.500 0.500 0.500
0.000 0.000 0.500
0.000 0.500 0.000
0.500 0.000 0.000
```

ΔE_f (raw)   1.472 eV per atom
Magnetization   2.7 μB per cell
E_tot   -7.33 eV/atom

=====

No. 18
This record from Alexandria describes an optimized crystal structure of NiTeOsN2. The functional is PBE.

The structure in POSCAR format:
```
NiTeOsN2
1.0
3.752 0.000 0.000
0.000 3.752 0.000
0.000 0.000 5.897
Ni Te Os N
1 1 1 2
Direct
0.000 0.000 0.000
0.500 0.500 0.000
0.500 0.500 0.500
0.000 0.500 0.500
0.500 0.000 0.500
```

ΔE_f (raw)   0.713 eV per atom
Magnetization   0.3 μB per cell
E_tot   -6.65 eV/atom
Excess energy over the best structure of this formula in the dataset   0.0 meV per atom

=====

No. 19
This record from Alexandria describes an optimized crystal structure of NiTeOsN2. The functional is PBE.

The structure in POSCAR format:
```
NiTeOsN2
1.0
3.686 0.000 0.000
0.000 3.686 0.000
0.000 0.000 5.482
Ni Te Os N
1 1 1 2
Direct
0.000 0.000 0.000
0.000 0.000 0.500
0.500 0.500 0.500
0.000 0.500 0.000
0.500 0.000 0.000
```

ΔE_f (raw)   1.814 eV per atom
Magnetization   0.0 μB per cell
E_tot   -5.55 eV/atom
Excess energy over the best structure of this formula in the dataset   1101.5 meV per atom

=====

No. 20
This record from Alexandria describes an optimized crystal structure of Ni2PN. The functional is PBE.

The structure in POSCAR format:
```
Ni2PN
1.0
0.000 2.701 2.701
2.701 0.000 2.701
2.701 2.701 0.000
Ni P N
2 1 1
Direct
0.250 0.250 0.250
0.750 0.750 0.750
0.000 0.000 0.000
0.500 0.500 0.500
```

ΔE_f (raw)   0.505 eV per atom
Magnetization   0.0 μB per cell
E_tot   -5.82 eV/atom
Excess energy over the best structure of this formula in the dataset   412.7 meV per atom

=====

No. 21
This record from Alexandria describes an optimized crystal structure of NiP3N. The functional is PBE.

The structure in POSCAR format:
```
NiP3N
1.0
4.295 0.000 0.000
0.000 4.295 0.000
0.000 0.000 4.295
Ni P N
1 3 1
Direct
0.000 0.000 0.000
0.000 0.000 0.500
0.000 0.500 0.000
0.500 0.000 0.000
0.500 0.500 0.500
```

ΔE_f (raw)   1.604 eV per atom
Magnetization   0.0 μB per cell
E_tot   -4.46 eV/atom
Excess energy over the best structure of this formula in the dataset   722.8 meV per atom

=====

No. 22
This record from Alexandria describes an optimized crystal structure of NiP3N. The functional is PBE.

The structure in POSCAR format:
```
NiP3N
1.0
3.968 0.000 0.000
0.000 3.968 0.000
0.000 0.000 3.968
Ni P N
1 3 1
Direct
0.000 0.000 0.000
0.000 0.500 0.500
0.500 0.000 0.500
0.500 0.500 0.000
0.500 0.500 0.500
```

ΔE_f (raw)   0.882 eV per atom
Magnetization   0.0 μB per cell
E_tot   -5.19 eV/atom
Excess energy over the best structure of this formula in the dataset   0.0 meV per atom

=====

No. 23
This record from Alexandria describes an optimized crystal structure of Ni2PN. The functional is PBE.

The structure in POSCAR format:
```
Ni2PN
1.0
-2.259 2.259 4.910
2.259 -2.259 4.910
2.259 2.259 -4.910
Ni P N
4 2 2
Direct
0.048 0.625 0.923
0.375 0.298 0.423
0.702 0.125 0.077
0.875 0.952 0.577
0.250 0.750 0.500
0.500 0.500 0.000
0.000 0.000 0.000
0.750 0.250 0.500
```

ΔE_f (raw)   0.092 eV per atom
Magnetization   0.0 μB per cell
E_tot   -6.23 eV/atom
Excess energy over the best structure of this formula in the dataset   0.0 meV per atom

=====

No. 24
This record from Alexandria describes an optimized crystal structure of NiP4N2. The functional is PBE.

The structure in POSCAR format:
```
NiP4N2
1.0
-2.055 2.055 6.037
2.055 -2.055 6.037
2.055 2.055 -6.037
Ni P N
1 4 2
Direct
0.000 0.000 0.000
0.000 0.500 0.500
0.263 0.263 0.000
0.500 0.000 0.500
0.737 0.737 0.000
0.398 0.398 0.000
0.602 0.602 0.000
```

ΔE_f (raw)   0.724 eV per atom
Magnetization   0.0 μB per cell
E_tot   -5.57 eV/atom

=====

No. 25
This record from Alexandria describes an optimized crystal structure of PaNiPN. The functional is PBE.

The structure in POSCAR format:
```
PaNiPN
1.0
3.867 0.000 0.000
0.000 3.867 0.000
0.000 0.000 7.701
Pa Ni P N
2 2 2 2
Direct
0.250 0.250 0.157
0.750 0.750 0.843
0.250 0.750 0.500
0.750 0.250 0.500
0.250 0.250 0.652
0.750 0.750 0.348
0.250 0.750 0.000
0.750 0.250 0.000
```

ΔE_f (raw)   -1.326 eV per atom
Magnetization   0.0 μB per cell
E_tot   -8.58 eV/atom

=====

No. 26
This record from Alexandria describes an optimized crystal structure of PaNi2PN. The functional is PBE.

The structure in POSCAR format:
```
PaNi2PN
1.0
1.749 -5.497 0.000
1.749 5.497 0.000
0.000 0.000 6.658
Pa Ni P N
2 4 2 2
Direct
0.034 0.966 0.750
0.966 0.034 0.250
0.324 0.676 0.560
0.324 0.676 0.940
0.676 0.324 0.060
0.676 0.324 0.440
0.238 0.762 0.250
0.762 0.238 0.750
0.500 0.500 0.000
0.500 0.500 0.500
```

ΔE_f (raw)   -1.028 eV per atom
Magnetization   0.0 μB per cell
E_tot   -7.99 eV/atom

=====

No. 27
This record from Alexandria describes an optimized crystal structure of Pa3Ni2P4N2. The functional is PBE.

The structure in POSCAR format:
```
Pa3Ni2P4N2
1.0
-1.870 1.870 12.063
1.870 -1.870 12.063
1.870 1.870 -12.063
Pa Ni P N
3 2 4 2
Direct
0.000 0.000 0.000
0.196 0.196 0.000
0.804 0.804 0.000
0.451 0.451 0.000
0.549 0.549 0.000
0.101 0.601 0.500
0.399 0.899 0.500
0.601 0.101 0.500
0.899 0.399 0.500
0.284 0.284 0.000
0.716 0.716 0.000
```

ΔE_f (raw)   -0.897 eV per atom
Magnetization   0.0 μB per cell
E_tot   -8.02 eV/atom